Computed, not measured: a relaxed LiZn8Au2 crystal at the PBE level of DFT.

Properties
For the density of states at the Fermi level, the calculation gives 6.24 states/eV/cell. For the calculated density, the calculation gives 8245 kg/m³. The total energy comes out at -1.75 eV per atom. The energy relative to the lowest polymorph listed for this composition is 0.0787 eV/atom.

Cell lengths 11.8444, 6.8882, 4.6952 Å; angles 90.00, 103.66, 90.00 degrees
Last column: nearest neighbours and their distance in Å.
Space group C2/m (No. 12)
Inequivalent atoms, fractional coordinates:
Li 0.0000 0.0000 0.0000 (multiplicity 2)  6 Zn 2.57-2.66, 4 Au 2.64-2.87
Zn 0.0615 0.3151 0.7863 (multiplicity 8)  6 Zn 2.55-2.82, 1 Li 2.57, 1 Au 2.64
Zn 0.1491 0.5000 0.3288 (multiplicity 4)  1 Au 2.60, 8 Zn 2.68-2.89
Zn 0.2309 0.0000 0.1098 (multiplicity 4)  2 Au 2.64-2.65, 1 Li 2.66, 4 Zn 2.68-2.77
Au 0.1249 0.0000 0.5456 (multiplicity 4)  5 Zn 2.60-2.65, 2 Li 2.64-2.87, 1 Au 2.89

Computed, not measured: a relaxed Nb4Re5W crystal at the PBE level of DFT.

Properties
For the density of states at the Fermi level, the calculation gives 4.17 states/eV/cell. For the calculated density, the calculation gives 15151 kg/m³. The total energy comes out at -11.75 eV per atom.

Cell lengths 3.1931, 3.1931, 15.9786 Å; angles 90.00, 90.00, 90.00 degrees
Last column: nearest neighbours and their distance in Å.
Space group P4/mmm (No. 123)
Inequivalent atoms, fractional coordinates:
Nb 0.0000 0.0000 0.1003 (multiplicity 2)  8 Re 2.77-2.78
Nb 0.0000 0.0000 0.3005 (multiplicity 2)  8 Re 2.76-2.79
Re 0.5000 0.5000 0.0000 (multiplicity 1)  8 Nb 2.77
Re 0.5000 0.5000 0.2015 (multiplicity 2)  8 Nb 2.76-2.78
Re 0.5000 0.5000 0.4030 (multiplicity 2)  4 W 2.74, 4 Nb 2.79
W 0.0000 0.0000 0.5000 (multiplicity 1)  8 Re 2.74

Computed, not measured: a relaxed ZnInSe crystal at the PBE level of DFT.

Properties
For the density of states at the Fermi level, the calculation gives 12.42 states/eV/cell. For the calculated density, the calculation gives 5410 kg/m³. The total energy comes out at -2.41 eV per atom. The energy relative to the lowest polymorph listed for this composition is 0.3628 eV/atom. The value obtained for the formation energy without anion corrections is 87 meV per atom.

Cell lengths 6.8270, 6.8270, 6.8270 Å; angles 90.00, 90.00, 90.00 degrees
Last column: nearest neighbours and their distance in Å.
Space group F-43m (No. 216)
Inequivalent atoms, fractional coordinates:
Zn 0.0000 0.0000 0.0000 (multiplicity 4)  4 In 2.96
In 0.2500 0.2500 0.2500 (multiplicity 4)  4 Se 2.96, 4 Zn 2.96
Se 0.0000 0.0000 0.5000 (multiplicity 4)  4 In 2.96

Computed, not measured: a relaxed Tb3Er3Tm crystal at the PBE level of DFT.

Properties
For the density of states at the Fermi level, the calculation gives 58.03 states/eV/cell. For the calculated density, the calculation gives 8380 kg/m³. The total energy comes out at -4.43 eV per atom. The energy relative to the lowest polymorph listed for this composition is 0.1421 eV/atom.

Cell lengths 6.1179, 6.1179, 42.0883 Å; angles 90.00, 90.00, 120.00 degrees
Last column: nearest neighbours and their distance in Å.
Space group R-3 (No. 148, hexagonal axes)
Inequivalent atoms, fractional coordinates:
Tb 0.0002 0.3311 0.1322 (multiplicity 18)  3 Er 3.46-3.47, 9 Tb 3.51-3.55
Er 0.0005 0.3332 0.2678 (multiplicity 18)  2 Tm 3.43, 3 Tb 3.46-3.47, 6 Er 3.53-3.54
Tm 0.0000 0.0000 0.3333 (multiplicity 6)  6 Er 3.43, 3 Tm 3.53

Computed, not measured: a relaxed Rb4Ac3GaSe8 crystal at the PBE level of DFT.

Properties
For the calculated density, the calculation gives 5064 kg/m³. The total energy comes out at -4.40 eV per atom. The value obtained for the formation energy without anion corrections is -1460 meV per atom.

Cell lengths 15.7372, 8.8700, 9.6141 Å; angles 90.00, 122.59, 90.00 degrees
Last column: nearest neighbours and their distance in Å.
Space group C2/m (No. 12)
Inequivalent atoms, fractional coordinates:
Rb 0.0000 0.0000 0.0000 (multiplicity 2)  2 Se 3.39
Rb 0.0000 0.5000 0.0000 (multiplicity 2)  6 Se 3.49-3.56
Rb 0.2500 0.2500 0.0000 (multiplicity 4)  6 Se 3.46-3.57
Ac 0.0000 0.0000 0.5000 (multiplicity 2)  6 Se 3.10-3.16
Ac 0.2500 0.2500 0.5000 (multiplicity 4)  6 Se 3.08-3.19
Ga 0.0000 0.5000 0.5000 (multiplicity 2)  4 Se 2.69
Se 0.0115 0.2853 0.3139 (multiplicity 8)  1 Ga 2.69
Se 0.2341 0.0000 0.7111 (multiplicity 4)  3 Ac 3.10-3.11, 2 Rb 3.46
Se 0.2476 0.5000 0.7203 (multiplicity 4)  2 Ac 3.08, 1 Ga 3.28, 1 Rb 3.39

Computed, not measured: a relaxed Rb2Zn2Cd crystal at the PBE level of DFT.

Properties
For the density of states at the Fermi level, the calculation gives 5.55 states/eV/cell. For the calculated density, the calculation gives 3499 kg/m³. The total energy comes out at -0.92 eV per atom. The energy relative to the lowest polymorph listed for this composition is 0.0312 eV/atom.

Cell lengths 7.0541, 7.0541, 7.8997 Å; angles 90.00, 90.00, 90.00 degrees
Last column: nearest neighbours and their distance in Å.
Space group I4/mmm (No. 139)
Inequivalent atoms, fractional coordinates:
Rb 0.0000 0.5000 0.2500 (multiplicity 4)  4 Zn 3.60, 2 Rb 3.95
Zn 0.0000 0.0000 0.1574 (multiplicity 4)  1 Zn 2.49, 1 Cd 2.71
Cd 0.0000 0.0000 0.5000 (multiplicity 2)  2 Zn 2.71

Computed, not measured: a relaxed RePBr2 crystal at the PBE level of DFT.

Properties
For the density of states at the Fermi level, the calculation gives 2.95 states/eV/cell. For the calculated density, the calculation gives 7953 kg/m³. The total energy comes out at -3.99 eV per atom. The energy relative to the lowest polymorph listed for this composition is 1.3085 eV/atom. The value obtained for the formation energy without anion corrections is 1308 meV per atom.

Cell lengths 3.1034, 4.5178, 5.6139 Å; angles 90.00, 90.00, 90.00 degrees
Last column: nearest neighbours and their distance in Å.
Space group Pmmm (No. 47)
Inequivalent atoms, fractional coordinates:
Re 0.0000 0.0000 0.0000 (multiplicity 1)  4 Br 2.74
P 0.5000 0.0000 0.5000 (multiplicity 1)  4 Br 2.74
Br 0.0000 0.5000 0.5000 (multiplicity 1)  4 P 2.74
Br 0.5000 0.5000 0.0000 (multiplicity 1)  4 Re 2.74

Computed, not measured: a relaxed Na3CeSm2Te6 crystal at the PBE level of DFT.

Properties
For the density of states at the Fermi level, the calculation gives 17.34 states/eV/cell. For the calculated density, the calculation gives 5267 kg/m³. The total energy comes out at -4.48 eV per atom. The value obtained for the formation energy without anion corrections is -1301 meV per atom.

Cell lengths 7.8441, 13.5858, 7.9868 Å; angles 90.00, 109.12, 90.00 degrees
Last column: nearest neighbours and their distance in Å.
Space group C2/m (No. 12)
Inequivalent atoms, fractional coordinates:
Na 0.0000 0.0000 0.0000 (multiplicity 2)  6 Te 3.26-3.29
Na 0.0000 0.3335 0.0000 (multiplicity 4)  6 Te 3.26-3.29
Ce 0.0000 0.5000 0.5000 (multiplicity 2)  6 Te 3.19-3.20
Sm 0.0000 0.1667 0.5000 (multiplicity 4)  6 Te 3.16
Te 0.2424 0.0000 0.7381 (multiplicity 4)  2 Sm 3.16, 1 Ce 3.20, 3 Na 3.26-3.29
Te 0.2477 0.3316 0.7377 (multiplicity 8)  2 Sm 3.16, 1 Ce 3.19, 3 Na 3.26-3.29

Computed, not measured: a relaxed TaAlCo crystal at the PBE level of DFT.

Properties
For the density of states at the Fermi level, the calculation gives 1.65 states/eV/cell. For the calculated density, the calculation gives 10300 kg/m³. The total energy comes out at -7.83 eV per atom.

Cell lengths 4.2058, 4.2058, 2.8084 Å; angles 90.00, 90.00, 120.00 degrees
Last column: nearest neighbours and their distance in Å.
Space group P3m1 (No. 156)
Inequivalent atoms, fractional coordinates:
Ta 0.0000 0.0000 0.0000 (multiplicity 1)  6 Co 2.74-2.87, 6 Al 2.80-2.81, 2 Ta 2.81
Al 0.6667 0.3333 0.4946 (multiplicity 1)  3 Co 2.43
Co 0.3333 0.6667 0.5475 (multiplicity 1)  3 Al 2.43

Computed, not measured: a relaxed NaLaYTe3 crystal at the PBE level of DFT.

Properties
For the density of states at the Fermi level, the calculation gives 6.76 states/eV/cell. For the calculated density, the calculation gives 5536 kg/m³. The total energy comes out at -4.94 eV per atom. The value obtained for the formation energy without anion corrections is -1254 meV per atom.

Cell lengths 8.9145, 4.4506, 9.9546 Å; angles 90.00, 105.75, 90.00 degrees
Last column: nearest neighbours and their distance in Å.
Space group P2_1/m (No. 11)
Inequivalent atoms, fractional coordinates:
Na 0.0947 0.2500 0.0859 (multiplicity 2)  4 Te 2.94-3.12, 2 Na 3.03
La 0.2029 0.2500 0.7338 (multiplicity 2)  7 Te 3.25-3.39
Y 0.3291 0.7500 0.3441 (multiplicity 2)  6 Te 3.07-3.32
Te 0.0909 0.2500 0.3806 (multiplicity 2)  1 Na 2.94, 2 Y 3.16
Te 0.2687 0.7500 0.9997 (multiplicity 2)  3 Na 2.97-3.12, 1 Y 3.32
Te 0.4380 0.7500 0.6666 (multiplicity 2)  3 Y 3.07-3.09, 2 La 3.25

V for every record listed, in sequence, given in Å³ per cell: 372 163 318 1364 1131 393 79 804 43 380.